# YTaBiO6

An optimized crystal structure of YTaBiO6 (PBE-GGA, Alexandria).

Unit cell a=5.041 b=5.041 c=10.161 alpha=90.00 beta=90.00 gamma=90.00
Atoms (fractional coordinates):
Ta1 0.000 0.000 0.332
Ta2 0.500 0.500 0.832
Y1 0.000 0.000 0.667
Y2 0.500 0.500 0.167
O1 0.315 0.315 0.684
O2 0.716 0.716 0.334
O3 0.316 0.316 0.984
O4 0.185 0.815 0.184
O5 0.685 0.685 0.684
O6 0.816 0.184 0.484
O7 0.284 0.284 0.334
O8 0.784 0.216 0.834
O9 0.184 0.816 0.484
O10 0.815 0.185 0.184
O11 0.684 0.684 0.984
O12 0.216 0.784 0.834
Bi1 0.500 0.500 0.497
Bi2 0.000 0.000 0.997

Computed properties:
E_form (uncorrected): -2.414 eV/atom
density of states at the Fermi level: 6.151 states/eV per cell
volume: 14.344 Å³ per atom
symmetry: P4_2nm, No. 102


# Sc3TaIr

An optimized crystal structure of Sc3TaIr (PBE-GGA, Alexandria).

Unit cell a=4.956 b=4.956 c=4.956 alpha=90.00 beta=90.00 gamma=90.00
Atoms (fractional coordinates):
Sc1 0.500 0.000 0.000
Sc2 0.000 0.000 0.500
Sc3 0.000 0.500 0.000
Ir1 0.000 0.000 0.000
Ta1 0.500 0.500 0.500

Computed properties:
energy above the lowest structure with this stoichiometry: 0.0000 eV per atom
density of states at the Fermi level: 4.645 states/eV per cell
calculated formation energy: 324.6 meV per atom
volume: 24.347 Å³ per atom
symmetry: Pm-3m, No. 221